Compound: Ba2AlNi
Source: Alexandria via LeMat-Bulk
Functional: GGA-PBE
Structure: relaxed

a = 11.6935 Å, b = 11.6935 Å, c = 8.5938 Å
α = 47.13°, β = 47.13°, γ = 90.00°
Positions (direct):
Ni 0.0000 0.0000 0.0000
Ni 0.7500 0.2500 0.5000
Ba 0.8077 0.1250 0.2500
Ba 0.9423 0.6250 0.2500
Ba 0.3750 0.1923 0.7500
Ba 0.8750 0.0577 0.7500
Al 0.5000 0.5000 0.0000
Al 0.2500 0.7500 0.5000

## Properties
formation energy = -0.199 eV per formula unit
VASP energy = -3.39 eV per atom
Fermi-level density of states = 3.72 states/eV/f.u.
volume = 160 Å³/f.u.


Compound: Mn3Ge7
Source: Alexandria via LeMat-Bulk
Functional: GGA-PBE
Structure: relaxed

a = 7.4038 Å, b = 7.4038 Å, c = 7.4038 Å
α = 109.47°, β = 109.47°, γ = 109.47°
Positions (direct):
Mn 0.0000 0.3543 0.3543
Mn 0.0000 0.6457 0.6457
Mn 0.3543 0.3543 0.0000
Mn 0.6457 0.6457 0.0000
Mn 0.6457 0.0000 0.6457
Mn 0.3543 0.0000 0.3543
Ge 0.2500 0.5000 0.7500
Ge 0.7500 0.5000 0.2500
Ge 0.5000 0.7500 0.2500
Ge 0.5000 0.2500 0.7500
Ge 0.2500 0.7500 0.5000
Ge 0.7500 0.2500 0.5000
Ge 0.0000 0.3217 0.0000
Ge 0.6783 0.6783 0.6783
Ge 0.0000 0.0000 0.6783
Ge 0.6783 0.0000 0.0000
Ge 0.3217 0.0000 0.0000
Ge 0.0000 0.0000 0.3217
Ge 0.3217 0.3217 0.3217
Ge 0.0000 0.6783 0.0000

## Properties
formation energy = 0.404 eV per formula unit
VASP energy = -5.94 eV per atom
Fermi-level density of states = 6.55 states/eV/f.u.
volume = 156 Å³/f.u.


Compound: ZrPd8Pt2
Source: Alexandria via LeMat-Bulk
Functional: GGA-PBE
Structure: relaxed

a = 4.7172 Å, b = 6.8132 Å, c = 7.1797 Å
α = 56.99°, β = 90.00°, γ = 110.25°
Positions (direct):
Zr 0.5000 0.0000 0.0000
Pd 0.4085 0.8170 0.4555
Pd 0.6826 0.3652 0.0851
Pd 0.8639 0.7279 0.1846
Pd 0.9526 0.9052 0.7277
Pd 0.1361 0.2721 0.8154
Pd 0.3174 0.6348 0.9149
Pd 0.5915 0.1830 0.5445
Pd 0.0474 0.0948 0.2723
Pt 0.7753 0.5505 0.6328
Pt 0.2247 0.4495 0.3672

## Properties
formation energy = -2.939 eV per formula unit
VASP energy = -5.92 eV per atom
Fermi-level density of states = 10.71 states/eV/f.u.
volume = 176 Å³/f.u.
ΔE to the lowest computed polymorph = 0 meV per atom


Compound: SmEr5Tm
Source: Alexandria via LeMat-Bulk
Functional: GGA-PBE
Structure: relaxed

a = 6.1076 Å, b = 7.9687 Å, c = 7.6900 Å
α = 121.21°, β = 113.40°, γ = 90.00°
Positions (direct):
Sm 0.6979 0.5000 0.0000
Er 0.1852 0.2563 0.5126
Er 0.1718 0.5000 0.0000
Er 0.6726 0.7437 0.4874
Er 0.4336 0.8213 0.0000
Er 0.4336 0.1787 0.0000
Tm 0.9359 0.0000 0.0000

## Properties
formation energy = 7.103 eV per formula unit
VASP energy = -3.56 eV per atom
Fermi-level density of states = 10.02 states/eV/f.u.
volume = 284 Å³/f.u.
ΔE to the lowest computed polymorph = 950 meV per atom


Compound: AgSF2
Source: Alexandria via LeMat-Bulk
Functional: GGA-PBE
Structure: relaxed

a = 8.1463 Å, b = 8.1463 Å, c = 8.1463 Å
α = 20.53°, β = 20.53°, γ = 20.53°
Positions (direct):
S 0.0000 0.0000 0.0000
Ag 0.5000 0.5000 0.5000
F 0.9251 0.9251 0.9251
F 0.0749 0.0749 0.0749

## Properties
ΔE_f (raw) = -0.6504 eV per atom
VASP energy = -3.33 eV per atom
Fermi-level density of states = 1.44 states/eV/f.u.
volume = 58 Å³/f.u.
ΔE to the lowest computed polymorph = 134 meV per atom


Compound: ErGe6Pd12
Source: Alexandria via LeMat-Bulk
Functional: GGA-PBE
Structure: relaxed

a = 7.2429 Å, b = 7.2429 Å, c = 7.2429 Å
α = 106.06°, β = 106.06°, γ = 106.06°
Positions (direct):
Er 0.0000 0.0000 0.0000
Ge 0.6969 0.2603 0.2603
Ge 0.2603 0.2603 0.6969
Ge 0.2603 0.6969 0.2603
Ge 0.7397 0.7397 0.3031
Ge 0.3031 0.7397 0.7397
Ge 0.7397 0.3031 0.7397
Pd 0.8776 0.1224 0.5000
Pd 0.8406 0.5892 0.5892
Pd 0.5892 0.5892 0.8406
Pd 0.4108 0.1594 0.4108
Pd 0.4108 0.4108 0.1594
Pd 0.1594 0.4108 0.4108
Pd 0.1224 0.5000 0.8776
Pd 0.5000 0.8776 0.1224
Pd 0.1224 0.8776 0.5000
Pd 0.8776 0.5000 0.1224
Pd 0.5000 0.1224 0.8776
Pd 0.5892 0.8406 0.5892

## Properties
formation energy = -8.850 eV per formula unit
VASP energy = -5.44 eV per atom
Fermi-level density of states = 9.21 states/eV/f.u.
volume = 324 Å³/f.u.


- Which value of volume does entry 3 give?
  176 Å³/f.u.


- The highest volume belongs to which entry?
  ErGe6Pd12


- Look up the VASP energy of the second one.
  -5.94 eV per atom